VASP calculation (PBE+U) on AcPaFeO6 after structural relaxation.

Computed properties:
- energy (eV/cell) = -69.90
- total magnetization (μB/f.u.) = 2.00

Cell lengths 5.5188, 5.5188, 4.8673 Å; angles 90.00, 90.00, 120.00 degrees
Space group P312 (No. 149)
Unique sites:
Ac1 0.0000 0.0000 0.0000
Pa1 0.6667 0.3333 0.5000
Fe1 0.3333 0.6667 0.0000
O1 0.0207 0.4023 0.2371